1.
Density functional theory data (PBE) for a geometry-optimized TiPd3Au structure.

a = 4.623 Å, b = 4.623 Å, c = 4.623 Å
α = 90.00°, β = 90.00°, γ = 90.00°
Fractional coordinates of all 5 atoms:
Ti 0.000 0.000 0.000
Pd 0.000 0.000 0.500
Pd 0.000 0.500 0.000
Pd 0.500 0.000 0.000
Au 0.500 0.500 0.500

Properties
Space-group type: Pm-3m
Calculated total energy: -24.31 eV for the cell shown
E above lowest polymorph: 938 meV/atom
Crystal system: cubic
Formation energy from the elements: 0.487 eV per atom

---

2.
Density functional theory data (PBE) for a geometry-optimized TaNb2Se4S2 structure.

a = 3.430 Å, b = 3.430 Å, c = 21.386 Å
α = 90.00°, β = 90.00°, γ = 120.00°
Fractional coordinates of all 9 atoms:
Ta 0.000 0.000 0.000
Nb 0.000 0.000 0.652
Nb 0.667 0.333 0.323
Se 0.000 0.000 0.243
Se 0.000 0.000 0.403
Se 0.667 0.333 0.573
Se 0.667 0.333 0.732
S 0.667 0.333 0.072
S 0.667 0.333 0.928

Properties
ΔE_f (raw): -911 meV per atom
Space-group type: P3m1
Calculated total energy: -62.38 eV for the cell shown
Crystal system: trigonal

---

3.
Density functional theory data (PBE) for a geometry-optimized Be2NbO structure.

a = 5.041 Å, b = 5.041 Å, c = 5.041 Å
α = 118.72°, β = 118.72°, γ = 92.24°
Fractional coordinates of all 8 atoms:
Be 0.375 0.223 0.348
Be 0.777 0.125 0.152
Be 0.875 0.027 0.652
Be 0.973 0.625 0.848
Nb 0.250 0.750 0.500
Nb 0.500 0.500 0.000
O 0.000 0.000 0.000
O 0.750 0.250 0.500

Properties
ΔE_f (raw): -483 meV per atom
Space-group type: I-42d
Calculated total energy: -48.82 eV for the cell shown
Crystal system: tetragonal

---

Q: calculated total energy of number 3 (Be2NbO)?
A: -48.82 eV for the cell shown

---

Q: calculated total energy of number 3 (Be2NbO)?
A: -48.82 eV for the cell shown

---

Q: Among the records above, which one has the highest calculated total energy?
A: TiPd3Au